Density functional theory data (PBE) for a relaxed Ti4Pt7Rh crystal. Values from VASP.

```
&SYSTEM
  ibrav = 0, nat = 12, ntyp = 3
/
ATOMIC_SPECIES
Ti 47.87 Ti.upf
Pt 195.08 Pt.upf
Rh 102.91 Rh.upf
ATOMIC_POSITIONS crystal
Ti 0.0883 0.0883 0.2746
Ti 0.2475 0.2475 0.8348
Ti 0.7525 0.7525 0.1652
Ti 0.9117 0.9117 0.7254
Pt 0.0000 0.0000 0.5000
Pt 0.1371 0.1371 0.0372
Pt 0.2880 0.2880 0.5951
Pt 0.4259 0.4259 0.1675
Pt 0.5741 0.5741 0.8325
Pt 0.7120 0.7120 0.4049
Pt 0.8629 0.8629 0.9628
Rh 0.5000 0.5000 0.5000
CELL_PARAMETERS angstrom
5.3330 -2.3664 0.0000
5.3330 2.3664 0.0000
-4.8106 0.0000 8.1378
```

Spin magnetization = 0.93 Bohr magnetons per cell
ΔE_f = -5.90 eV per formula unit
VASP energy = -7.260 eV per atom

---

Density functional theory data (PBE) for a relaxed LiGe2Pt crystal. Values from VASP.

```
&SYSTEM
  ibrav = 0, nat = 4, ntyp = 3
/
ATOMIC_SPECIES
Li 6.94 Li.upf
Ge 72.64 Ge.upf
Pt 195.08 Pt.upf
ATOMIC_POSITIONS crystal
Li 0.0000 0.0000 0.0000
Ge 0.2996 0.2996 0.0000
Ge 0.7004 0.7004 0.0000
Pt 0.5000 0.5000 0.0000
CELL_PARAMETERS angstrom
-1.4593 2.0916 6.1043
1.4593 -2.0916 6.1043
1.4593 2.0916 -6.1043
```

Spin magnetization = 0.00 Bohr magnetons per cell
Energy relative to the lowest polymorph listed for this composition = 274 meV per atom
ΔE_f = -0.82 eV per formula unit
VASP energy = -4.501 eV per atom